Entry from Alexandria: a PBEsol-optimized structure of NdAsPd (meta-GGA SCAN).

Cell lengths 4.3205, 4.3205, 7.7055 Å; angles 90.00, 90.00, 120.00 degrees
Last column: nearest neighbours and their distance in Å.
Fractional coordinates of all 6 atoms:
Nd 0.0000 0.0000 0.0000  6 Pd 3.08-3.22, 6 As 3.09-3.22
Nd 0.0000 0.0000 0.5000  6 Pd 3.08-3.22, 6 As 3.09-3.22
As 0.3333 0.6667 0.2357  3 Pd 2.50
As 0.6667 0.3333 0.7357  3 Pd 2.50
Pd 0.3333 0.6667 0.7651  3 As 2.50
Pd 0.6667 0.3333 0.2651  3 As 2.50

Results
E, eV per atom: -33.5183
SG: P6_3mc (186)

Entry from Alexandria: a PBEsol-optimized structure of Hf3BeGe (meta-GGA SCAN).

Cell lengths 4.8563, 4.8563, 4.8563 Å; angles 90.00, 90.00, 90.00 degrees
Last column: nearest neighbours and their distance in Å.
Fractional coordinates of all 5 atoms:
Hf 0.0000 0.0000 0.5000  2 Ge 2.43
Hf 0.0000 0.5000 0.0000  2 Ge 2.43
Hf 0.5000 0.0000 0.0000  2 Ge 2.43
Be 0.5000 0.5000 0.5000  12 Hf 3.43
Ge 0.0000 0.0000 0.0000  6 Hf 2.43

Results
E, eV per atom: -41.5843
SG: Pm-3m (221)

Entry from Alexandria: a PBEsol-optimized structure of TaInP (meta-GGA SCAN).

Cell lengths 4.5160, 4.5160, 4.5160 Å; angles 60.00, 60.00, 60.00 degrees
Last column: nearest neighbours and their distance in Å.
Fractional coordinates of all 3 atoms:
Ta 0.0000 0.0000 0.0000  4 In 2.77
In 0.7500 0.7500 0.7500  4 Ta 2.77, 4 P 2.77
P 0.5000 0.5000 0.5000  4 In 2.77

Results
E, eV per atom: -35.4058
SG: F-43m (216)

Entry from Alexandria: a PBEsol-optimized structure of Rb2TlCuF6 (meta-GGA SCAN).

Cell lengths 6.1198, 6.1198, 6.1198 Å; angles 60.00, 60.00, 60.00 degrees
Last column: nearest neighbours and their distance in Å.
Fractional coordinates of all 10 atoms:
Rb 0.2500 0.2500 0.2500  12 F 3.06
Rb 0.7500 0.7500 0.7500  12 F 3.06
Tl 0.0000 0.0000 0.0000  6 F 2.32
Cu 0.5000 0.5000 0.5000  6 F 2.01
F 0.2676 0.2676 0.7324  1 Cu 2.01
F 0.2676 0.7324 0.2676  1 Cu 2.01
F 0.2676 0.7324 0.7324  1 Cu 2.01
F 0.7324 0.2676 0.2676  1 Cu 2.01
F 0.7324 0.2676 0.7324  1 Cu 2.01
F 0.7324 0.7324 0.2676  1 Cu 2.01

Results
E, eV per atom: -17.3129
Formation energy from raw total energies, meV/atom: -2285
SG: Fm-3m (225)

> Look up the E of the first one.

-33.5183 eV per atom

> Among the records above, which one has the highest E?

Rb2TlCuF6

> Among the records above, which one has the highest E?

Rb2TlCuF6